No. 1
First-principles (PBE-GGA) data for a geometry-optimized CrIr2Rh structure, as listed in Alexandria via LeMat-Bulk.

Structure (extended XYZ):
```
4
Lattice="4.6783 0.0107 0.0021 1.5644 4.4090 -0.0013 -3.1227 -2.2086 2.6903" Properties=species:S:1:pos:R:3 pbc="T T T"
Ir 1.5553 -2.1972 2.6924
Rh 3.1216 2.2096 0.0005
Ir 2.3385 0.0064 1.3464
Cr 0.7817 2.2045 1.3447
```

- ΔE_f (meV/atom) = -140.8
- space-group type = F222

No. 2
First-principles (PBE-GGA) data for a geometry-optimized BaInCo2 structure, as listed in Alexandria via LeMat-Bulk.

Structure (extended XYZ):
```
8
Lattice="4.8663 0.0000 0.0000 0.0000 4.8663 0.0000 2.4331 2.4331 9.0062" Properties=species:S:1:pos:R:3 pbc="T T T"
Co 6.0829 4.8643 6.7546
Co 3.6497 4.8683 6.7546
Ba 0.0000 0.0000 0.0000
Co 2.4352 3.6497 2.2515
In 2.4331 2.4331 0.0000
In 2.4331 4.8663 4.5031
Ba 4.8663 2.4331 4.5031
Co 2.4311 1.2166 2.2515
```

- ΔE_f (meV/atom) = 394.4
- space-group type = I4_1/amd

No. 3
First-principles (PBE-GGA) data for a geometry-optimized PmDy3Sb3 structure, as listed in Alexandria via LeMat-Bulk.

Structure (extended XYZ):
```
28
Lattice="9.2584 0.0000 0.0000 0.0000 9.2584 0.0000 0.0000 0.0000 9.2584" Properties=species:S:1:pos:R:3 pbc="T T T"
Dy 1.6531 1.6531 1.6531
Dy 1.6650 7.5934 2.9642
Pm 0.6487 5.2779 8.6097
Dy 3.9345 5.3239 0.6947
Pm 8.6097 0.6487 5.2779
Dy 5.3239 0.6947 3.9345
Dy 8.5637 8.5637 8.5637
Sb 9.2464 2.2683 8.1256
Dy 6.2823 2.9761 7.6053
Sb 4.6172 2.3609 1.1328
Dy 6.2942 6.2942 6.2942
Sb 5.7620 0.0120 6.8975
Dy 2.9642 1.6650 7.5934
Sb 4.6411 6.9901 3.4964
Sb 6.9901 3.4964 4.6411
Dy 7.6053 6.2823 2.9761
Sb 6.8975 5.7620 0.0120
Sb 3.4964 4.6411 6.9901
Sb 2.2683 8.1256 9.2464
Pm 3.9805 3.9805 3.9805
Sb 1.1328 4.6172 2.3609
Dy 2.9761 7.6053 6.2823
Sb 2.3609 1.1328 4.6172
Dy 7.5934 2.9642 1.6650
Sb 8.1256 9.2464 2.2683
Pm 5.2779 8.6097 0.6487
Dy 0.6947 3.9345 5.3239
Sb 0.0120 6.8975 5.7620
```

- offset from the most stable computed form (eV/f.u.) = 0.00
- energy relative to the elements, uncorrected (eV per atom) = -1.007
- space-group type = P2_13

No. 4
First-principles (PBE-GGA) data for a geometry-optimized La2PmTe structure, as listed in Alexandria via LeMat-Bulk.

Structure (extended XYZ):
```
4
Lattice="4.0481 0.0000 0.0000 2.0241 3.5058 0.0000 2.0241 1.1686 10.3017" Properties=species:S:1:pos:R:3 pbc="T T T"
Pm 0.0000 0.0000 0.0000
Te 4.0481 2.3372 5.1508
La 6.0722 3.5058 7.3679
La 2.0241 1.1686 2.9338
```

- offset from the most stable computed form (eV/f.u.) = 0.10
- energy relative to the elements, uncorrected (eV per atom) = -0.597
- space-group type = R-3m

| no. | VASP energy (eV per atom) | magnetization (Bohr magnetons per cell) | N(E_F) (states/eV/atom) |
| --- | --- | --- | --- |
| 1 | -8.8150 | 1.332 | 1.0003 |
| 2 | -4.3238 | 4.539 | 1.3248 |
| 3 | -5.4242 | 0.001 | 0.9685 |
| 4 | -5.0341 | 0.000 | 1.2888 |